The following is a DFT calculation (PBE) of crystalline BiAsPdO at its relaxed geometry.

Geometry as CIF:
```
data_BiAsPdO
_symmetry_space_group_name_H-M 'P m c 21'
_symmetry_Int_Tables_number 26
_cell_length_a 3.580
_cell_length_b 7.318
_cell_length_c 5.821
_cell_angle_alpha 90.00
_cell_angle_beta 90.00
_cell_angle_gamma 90.00
loop_
_symmetry_equiv_pos_as_xyz
'x,y,z'
'-x,-y,z+1/2'
'-x,y,z'
'x,-y,z+1/2'
loop_
_atom_site_label
_atom_site_type_symbol
_atom_site_fract_x
_atom_site_fract_y
_atom_site_fract_z
Bi1 Bi 0.000 0.154 0.000
As1 As 0.000 0.463 0.606
Pd1 Pd 0.500 0.238 0.593
O1 O 0.500 0.084 0.232
```

Results
Relative energy among the computed polymorphs in eV per atom: 0.255